# 1
The following is a PBE calculation of an optimized crystal structure of GaNi14Pt, from the Alexandria database.

## Properties
* total DFT energy (no corrections): -0.4180 Ry per atom
* energy relative to the elements: -0.0620 eV/atom
* magnetization: 8.157 μB/f.u.

a b c (Å): 8.255 5.052 8.768
angles (deg): 90.00 90.00 90.00
Space group Amm2 (No. 38)
One atom of each set of equivalent atoms:
Ga1 0.000 0.000 0.000 (multiplicity 2)
Ni1 0.000 0.249 0.750 (multiplicity 4)
Ni2 0.253 0.000 0.166 (multiplicity 4)
Ni3 0.257 0.000 0.668 (multiplicity 4)
Ni4 0.258 0.248 0.914 (multiplicity 8)
Ni5 0.500 0.000 0.332 (multiplicity 2)
Ni6 0.500 0.000 0.832 (multiplicity 2)
Ni7 0.500 0.249 0.082 (multiplicity 4)
Pt1 0.000 0.000 0.500 (multiplicity 2)

---

# 2
The following is a PBE calculation of an optimized crystal structure of CeFeCoSi3, from the Alexandria database.

## Properties
* E_form (uncorrected): -0.3904 eV/atom
* total DFT energy (no corrections): -0.4914 Ry per atom
* magnetization: 1.294 μB/f.u.

a b c (Å): 6.014 11.169 5.908
angles (deg): 90.00 90.00 90.00
Space group Cmcm (No. 63)
One atom of each set of equivalent atoms:
Ce1 0.000 0.234 0.250 (multiplicity 4)
Fe1 0.000 0.024 0.750 (multiplicity 4)
Co1 0.000 0.402 0.750 (multiplicity 4)
Si1 0.000 0.214 0.750 (multiplicity 4)
Si2 0.212 0.500 0.000 (multiplicity 8)

---

# 3
The following is a PBE calculation of an optimized crystal structure of Rb3GaGe, from the Alexandria database.

## Properties
* total DFT energy (no corrections): -0.1517 Ry per atom
* energy relative to the elements: 0.0459 eV/atom
* magnetization: 0.000 μB/f.u.

a b c (Å): 11.431 11.830 8.693
angles (deg): 90.00 122.52 90.00
Space group C2/m (No. 12)
One atom of each set of equivalent atoms:
Rb1 0.030 0.000 0.242 (multiplicity 4)
Rb2 0.217 0.308 0.232 (multiplicity 8)
Ga1 0.151 0.500 0.812 (multiplicity 4)
Ge1 0.102 0.500 0.482 (multiplicity 4)

---

# 4
The following is a PBE calculation of an optimized crystal structure of Dy3U2C4, from the Alexandria database.

## Properties
* total DFT energy (no corrections): -0.6112 Ry per atom
* energy relative to the elements: -0.1735 eV/atom
* magnetization: 0.684 μB/f.u.

a b c (Å): 11.801 3.678 9.356
angles (deg): 90.00 127.25 90.00
Space group C2/m (No. 12)
One atom of each set of equivalent atoms:
Dy1 0.000 0.000 0.000 (multiplicity 2)
Dy2 0.130 0.500 0.800 (multiplicity 4)
U1 0.225 0.500 0.386 (multiplicity 4)
C1 0.068 0.000 0.305 (multiplicity 4)
C2 0.198 0.500 0.125 (multiplicity 4)

---

# 5
The following is a PBE calculation of an optimized crystal structure of Nd2Al9Pt3, from the Alexandria database.

## Properties
* total DFT energy (no corrections): -0.3844 Ry per atom
* energy relative to the elements: -0.8489 eV/atom
* magnetization: 0.000 μB/f.u.

a b c (Å): 13.350 7.688 10.580
angles (deg): 90.00 114.80 90.00
Space group C2/c (No. 15)
One atom of each set of equivalent atoms:
Nd1 0.169 0.084 0.250 (multiplicity 8)
Al1 0.000 0.376 0.250 (multiplicity 4)
Al2 0.060 0.085 0.929 (multiplicity 8)
Al3 0.101 0.416 0.056 (multiplicity 8)
Al4 0.102 0.316 0.749 (multiplicity 8)
Al5 0.225 0.418 0.431 (multiplicity 8)
Pt1 0.085 0.245 0.500 (multiplicity 8)
Pt2 0.250 0.250 0.000 (multiplicity 4)

---

# 6
The following is a PBE calculation of an optimized crystal structure of DyGa2S4, from the Alexandria database.

## Properties
* E_form (uncorrected): -0.9081 eV/atom
* total DFT energy (no corrections): -0.3520 Ry per atom
* magnetization: 0.000 μB/f.u.

a b c (Å): 5.366 5.366 6.237
angles (deg): 90.00 90.00 90.00
Space group P-42m (No. 111)
One atom of each set of equivalent atoms:
Dy1 0.000 0.000 0.000 (multiplicity 1)
Ga1 0.000 0.500 0.500 (multiplicity 2)
S1 0.265 0.265 0.273 (multiplicity 4)

---

Question: Look up the total DFT energy (no corrections) of the first one.
Answer: -0.4180 Ry per atom